No. 1
Below is Sm2AsSe5 after structural relaxation, with properties calculated at the PBE level.

Calculated values
Spin magnetization, Bohr magnetons per cell: 0.00
N(E_F), states/eV per cell: 7.6
V, Å³/f.u.: 258.9
Formation energy from raw total energies, meV per atom: -1030
Space-group type: Cmcm

Unit cell a=5.584 b=7.584 c=13.152 alpha=90.00 beta=90.00 gamma=111.60
Atoms (fractional coordinates):
Sm 0.838 0.676 0.427
Sm 0.838 0.676 0.073
Sm 0.162 0.324 0.573
Sm 0.162 0.324 0.927
As 0.842 0.684 0.750
As 0.158 0.316 0.250
Se 0.959 0.917 0.894
Se 0.959 0.917 0.606
Se 0.295 0.589 0.401
Se 0.295 0.589 0.099
Se 0.707 0.414 0.250
Se 0.293 0.586 0.750
Se 0.705 0.411 0.599
Se 0.705 0.411 0.901
Se 0.041 0.083 0.106
Se 0.041 0.083 0.394

***

No. 2
Below is RbNa2GaPt after structural relaxation, with properties calculated at the PBE level.

Calculated values
Spin magnetization, Bohr magnetons per cell: 0.00
N(E_F), states/eV per cell: 2.3
V, Å³/f.u.: 156.5
Total DFT energy (no corrections), eV per atom: -2.747
Space-group type: P4/mmm

Unit cell a=5.673 b=5.673 c=4.865 alpha=90.00 beta=90.00 gamma=90.00
Atoms (fractional coordinates):
Na 0.000 0.500 0.000
Na 0.500 0.000 0.000
Ga 0.000 0.000 0.500
Rb 0.500 0.500 0.500
Pt 0.000 0.000 0.000

***

No. 3
Below is LiLa2HgS after structural relaxation, with properties calculated at the PBE level.

Calculated values
Spin magnetization, Bohr magnetons per cell: 0.00
N(E_F), states/eV per cell: 3.7
V, Å³/f.u.: 139.3
Formation energy from raw total energies, meV per atom: -914
Space-group type: P4/mmm

Unit cell a=5.622 b=5.622 c=4.407 alpha=90.00 beta=90.00 gamma=90.00
Atoms (fractional coordinates):
S 0.000 0.000 0.000
Li 0.000 0.000 0.500
Hg 0.500 0.500 0.500
La 0.000 0.500 0.000
La 0.500 0.000 0.000